Dy4S3O: optimized geometry, PBE-GGA.

a b c (Å): 5.3885 5.3885 5.3885
angles (deg): 90.00 90.00 90.00
With the nearest neighbours (Å) after each atom.
Space group Pm-3m (No. 221)
One atom of each set of equivalent atoms:
Dy 0.0000 0.0000 0.0000 (multiplicity 1)  6 S 2.69
Dy 0.0000 0.5000 0.5000 (multiplicity 3)  2 O 2.69, 4 S 2.69
S 0.0000 0.0000 0.5000 (multiplicity 3)  6 Dy 2.69
O 0.5000 0.5000 0.5000 (multiplicity 1)  6 Dy 2.69

D(E_F): 4.9 states/eV per cell
ΔE_f (raw): -2.0339 eV per atom
total DFT energy (no corrections): -6.502 eV per atom

Li3Ho2S4: optimized geometry, PBE-GGA.

a b c (Å): 6.6724 3.8522 14.9562
angles (deg): 90.00 90.06 90.00
With the nearest neighbours (Å) after each atom.
Space group C2/m (No. 12)
One atom of each set of equivalent atoms:
Li 0.0000 0.0000 0.0000 (multiplicity 2)  6 S 2.70
Li 0.1658 0.5000 0.6130 (multiplicity 4)  3 S 2.46
Ho 0.1672 0.5000 0.2047 (multiplicity 4)  6 S 2.70-2.78
S 0.0008 0.0000 0.3161 (multiplicity 4)  3 Li 2.46
S 0.1664 0.5000 0.8977 (multiplicity 4)  3 Li 2.70, 3 Ho 2.70

D(E_F): 5.5 states/eV per cell
ΔE_f (raw): -1.6268 eV per atom
total DFT energy (no corrections): -5.116 eV per atom

Tl3VCu: optimized geometry, PBE-GGA.

a b c (Å): 5.4139 5.4139 5.4139
angles (deg): 90.00 90.00 90.00
With the nearest neighbours (Å) after each atom.
Space group Pm-3m (No. 221)
One atom of each set of equivalent atoms:
Tl 0.0000 0.0000 0.5000 (multiplicity 3)  2 V 2.71
V 0.0000 0.0000 0.0000 (multiplicity 1)  6 Tl 2.71
Cu 0.5000 0.5000 0.5000 (multiplicity 1)  12 Tl 3.83

D(E_F): 5.9 states/eV per cell
E_form: 0.857 eV/atom
total DFT energy (no corrections): -3.205 eV per atom

LaSc2Cd: optimized geometry, PBE-GGA.

a b c (Å): 12.0330 3.6770 5.2467
angles (deg): 90.00 114.80 90.00
With the nearest neighbours (Å) after each atom.
Space group Cm (No. 8)
One atom of each set of equivalent atoms:
La 0.0000 0.0000 0.0000 (multiplicity 2)  6 Sc 3.22-3.47, 2 Cd 3.32
Sc 0.2304 0.0000 0.7258 (multiplicity 2)  4 Cd 3.21, 2 Sc 3.38, 2 La 3.47
Sc 0.4703 0.0000 0.4719 (multiplicity 2)  2 Cd 3.00, 4 La 3.22
Cd 0.2531 0.5000 0.2477 (multiplicity 2)  6 Sc 3.00-3.21, 2 La 3.32

D(E_F): 8.9 states/eV per cell
E_form: -0.060 eV/atom
total DFT energy (no corrections): -4.686 eV per atom

Nb2IF2: optimized geometry, PBE-GGA.

a b c (Å): 4.2267 4.2267 9.7697
angles (deg): 90.00 90.00 90.00
With the nearest neighbours (Å) after each atom.
Space group I4/mmm (No. 139)
One atom of each set of equivalent atoms:
Nb 0.0000 0.0000 0.1163 (multiplicity 4)  1 Nb 2.27, 4 F 2.48
I 0.0000 0.0000 0.5000 (multiplicity 2)  8 Nb 3.20, 8 F 3.23
F 0.0000 0.5000 0.2500 (multiplicity 4)  4 Nb 2.48

D(E_F): 5.4 states/eV per cell
ΔE_f (raw): -0.8034 eV per atom
total DFT energy (no corrections): -5.890 eV per atom

AgAs2RhSe: optimized geometry, PBE-GGA.

a b c (Å): 4.6602 4.6602 5.3996
angles (deg): 90.00 90.00 90.00
With the nearest neighbours (Å) after each atom.
Space group P4/mmm (No. 123)
One atom of each set of equivalent atoms:
Ag 0.0000 0.0000 0.0000 (multiplicity 1)  4 Se 3.30, 8 As 3.57
As 0.0000 0.5000 0.5000 (multiplicity 2)  2 Rh 2.33
Rh 0.5000 0.5000 0.5000 (multiplicity 1)  4 As 2.33
Se 0.5000 0.5000 0.0000 (multiplicity 1)  2 Rh 2.70

D(E_F): 3.6 states/eV per cell
ΔE_f (raw): 0.4420 eV per atom
total DFT energy (no corrections): -4.155 eV per atom

Ti4ZnCo2: optimized geometry, PBE-GGA.

a b c (Å): 3.8255 3.8255 27.0815
angles (deg): 90.00 90.00 120.00
With the nearest neighbours (Å) after each atom.
Space group R-3m (No. 166, hexagonal axes)
One atom of each set of equivalent atoms:
Ti 0.0000 0.0000 0.1061 (multiplicity 6)  3 Co 2.42
Ti 0.0000 0.0000 0.2994 (multiplicity 6)  3 Co 2.41
Zn 0.0000 0.0000 0.5000 (multiplicity 3)  2 Co 2.64, 6 Ti 2.75
Co 0.0000 0.0000 0.4027 (multiplicity 6)  6 Ti 2.41-2.42, 1 Zn 2.64

D(E_F): 25.6 states/eV per cell
E_form: -0.008 eV/atom
total DFT energy (no corrections): -6.731 eV per atom

Er2ScBi: optimized geometry, PBE-GGA.

a b c (Å): 4.0784 4.0784 6.6431
angles (deg): 90.00 90.00 90.00
With the nearest neighbours (Å) after each atom.
Space group P4/mmm (No. 123)
One atom of each set of equivalent atoms:
Er 0.0000 0.0000 0.2487 (multiplicity 2)  2 Er 3.30-3.34, 4 Bi 3.32, 4 Sc 3.33
Sc 0.5000 0.5000 0.5000 (multiplicity 1)  2 Bi 3.32, 8 Er 3.33
Bi 0.5000 0.5000 0.0000 (multiplicity 1)  2 Sc 3.32, 8 Er 3.32

D(E_F): 3.7 states/eV per cell
E_form: -0.355 eV/atom
total DFT energy (no corrections): -5.189 eV per atom

Y4BiPt: optimized geometry, PBE-GGA.

a b c (Å): 9.1531 13.5772 6.2905
angles (deg): 90.00 116.53 90.00
With the nearest neighbours (Å) after each atom.
Space group C2/c (No. 15)
One atom of each set of equivalent atoms:
Y 0.1140 0.1741 0.0771 (multiplicity 8)  2 Pt 2.97-3.01, 2 Bi 3.26-3.28
Y 0.2216 0.4268 0.3273 (multiplicity 8)  2 Pt 2.91-2.98
Bi 0.0000 0.3739 0.7500 (multiplicity 4)  8 Y 3.26-3.35
Pt 0.0000 0.0010 0.2500 (multiplicity 4)  8 Y 2.91-3.01, 2 Pt 3.15

D(E_F): 30.5 states/eV per cell
E_form: -0.685 eV/atom
total DFT energy (no corrections): -6.648 eV per atom

TlSe2I2: optimized geometry, PBE-GGA.

a b c (Å): 8.7909 7.7528 11.8108
angles (deg): 90.00 97.48 90.00
With the nearest neighbours (Å) after each atom.
Space group C2/c (No. 15)
One atom of each set of equivalent atoms:
Tl 0.0000 0.1887 0.2500 (multiplicity 4)  4 I 3.37-3.47, 2 Se 3.58
Se 0.1363 0.3164 0.9900 (multiplicity 8)  1 Se 2.23
I 0.1477 0.1788 0.6365 (multiplicity 8)  1 Se 2.94

D(E_F): 9.4 states/eV per cell
ΔE_f (raw): -0.0544 eV per atom
total DFT energy (no corrections): -2.542 eV per atom

Pr2AgPd: optimized geometry, PBE-GGA.

a b c (Å): 3.7107 3.7107 7.4594
angles (deg): 90.00 90.00 90.00
With the nearest neighbours (Å) after each atom.
Space group P4/mmm (No. 123)
One atom of each set of equivalent atoms:
Pr 0.0000 0.0000 0.2375 (multiplicity 2)  4 Pd 3.17, 4 Ag 3.27, 1 Pr 3.54
Ag 0.5000 0.5000 0.5000 (multiplicity 1)  8 Pr 3.27
Pd 0.5000 0.5000 0.0000 (multiplicity 1)  8 Pr 3.17

D(E_F): 3.5 states/eV per cell
E_form: -0.475 eV/atom
total DFT energy (no corrections): -4.876 eV per atom

La3Y4Er8: optimized geometry, PBE-GGA.

a b c (Å): 13.4118 12.8426 6.7765
angles (deg): 90.00 120.33 90.00
With the nearest neighbours (Å) after each atom.
Space group C2/m (No. 12)
One atom of each set of equivalent atoms:
La 0.0000 0.0000 0.0000 (multiplicity 2)  6 Er 3.15-3.25
La 0.2500 0.2500 0.5000 (multiplicity 4)  4 Er 3.22-3.35, 2 Y 3.39
Y 0.0000 0.5000 0.0000 (multiplicity 2)  6 Er 3.27-3.49, 2 Y 3.39
Y 0.0000 0.5000 0.5000 (multiplicity 2)  2 Y 3.39, 4 Er 3.54-3.57
Y 0.2500 0.2500 0.0000 (multiplicity 4)  4 Er 3.22-3.35, 2 La 3.39
Er 0.0000 0.1396 0.5000 (multiplicity 4)  7 Er 3.59-3.65, 4 La 3.64-3.83, 2 Y 3.64
Er 0.0000 0.2450 0.0000 (multiplicity 4)  3 La 3.15-3.35, 3 Y 3.27-3.35
Er 0.2340 0.0000 0.4929 (multiplicity 4)  3 La 3.22-3.23, 2 Er 3.23-3.55, 2 Y 3.49-3.54
Er 0.2338 0.0000 0.9687 (multiplicity 4)  4 Y 3.22-3.57, 2 Er 3.23-3.55, 1 La 3.25

D(E_F): 63.7 states/eV per cell
E_form: 0.389 eV/atom
total DFT energy (no corrections): -4.753 eV per atom

Cs2CuMo2: optimized geometry, PBE-GGA.

a b c (Å): 6.8750 6.8750 6.3654
angles (deg): 90.00 90.00 90.00
With the nearest neighbours (Å) after each atom.
Space group P4/mbm (No. 127)
One atom of each set of equivalent atoms:
Cs 0.1997 0.3003 0.0000 (multiplicity 4)  5 Cs 3.51-3.88, 6 Mo 3.69-3.88
Cu 0.0000 0.0000 0.5000 (multiplicity 2)  4 Mo 2.79
Mo 0.1089 0.6089 0.5000 (multiplicity 4)  1 Mo 2.12

D(E_F): 11.5 states/eV per cell
E_form: 1.312 eV/atom
total DFT energy (no corrections): -4.181 eV per atom

RbLi2TlF6: optimized geometry, PBE-GGA.

a b c (Å): 8.4193 10.8424 7.0410
angles (deg): 90.00 120.22 90.00
With the nearest neighbours (Å) after each atom.
Space group C2/c (No. 15)
One atom of each set of equivalent atoms:
Rb 0.0000 0.2009 0.2500 (multiplicity 4)  8 F 2.78-2.95, 2 Li 3.12
Li 0.1317 0.0794 0.7065 (multiplicity 8)  5 F 1.93-2.06
Tl 0.0000 0.4161 0.7500 (multiplicity 4)  4 F 2.17-2.23
F 0.1038 0.4234 0.1465 (multiplicity 8)  1 Li 1.93
F 0.1377 0.2636 0.6912 (multiplicity 8)  1 Li 2.00, 1 Tl 2.17
F 0.1435 0.0357 0.9814 (multiplicity 8)  3 Li 1.95-2.06

D(E_F): 0.0 states/eV per cell
ΔE_f (raw): -2.4291 eV per atom
total DFT energy (no corrections): -4.268 eV per atom

PrY4Tm5: optimized geometry, PBE-GGA.

a b c (Å): 10.1380 10.1380 6.3351
angles (deg): 90.00 90.00 90.00
With the nearest neighbours (Å) after each atom.
Space group I4 (No. 79)
One atom of each set of equivalent atoms:
Pr 0.0000 0.0000 0.0000 (multiplicity 2)  1 Tm 2.88
Y 0.0496 0.6539 0.2300 (multiplicity 8)  4 Tm 3.23-3.53, 1 Y 3.28
Tm 0.0000 0.0000 0.4550 (multiplicity 2)  1 Pr 2.88
Tm 0.1418 0.7684 0.7254 (multiplicity 8)  4 Y 3.23-3.53, 1 Tm 3.24, 1 Pr 3.26

D(E_F): 27.8 states/eV per cell
E_form: 0.302 eV/atom
total DFT energy (no corrections): -4.998 eV per atom

K8Rb3: optimized geometry, PBE-GGA.

a b c (Å): 14.2694 14.2694 15.7316
angles (deg): 90.00 90.00 120.00
With the nearest neighbours (Å) after each atom.
Space group R-3 (No. 148, hexagonal axes)
One atom of each set of equivalent atoms:
K 0.0000 0.0000 0.1378 (multiplicity 6)  3 Rb 4.14, 1 K 4.33
K 0.0227 0.2042 0.3931 (multiplicity 18)  2 Rb 4.34-4.70, 5 K 4.34-4.79
Rb 0.0000 0.5000 0.5000 (multiplicity 9)  4 K 4.14-4.34

D(E_F): 29.3 states/eV per cell
E_form: 0.106 eV/atom
total DFT energy (no corrections): -0.956 eV per atom

MnIr2W: optimized geometry, PBE-GGA.

a b c (Å): 2.7789 3.7916 5.4937
angles (deg): 90.00 90.00 90.00
With the nearest neighbours (Å) after each atom.
Space group Pmmm (No. 47)
One atom of each set of equivalent atoms:
Mn 0.0000 0.0000 0.0000 (multiplicity 1)  8 Ir 2.70, 2 W 2.75, 2 Mn 2.78
Ir 0.5000 0.5000 0.2435 (multiplicity 2)  4 Ir 2.68-2.82, 4 Mn 2.70, 4 W 2.74
W 0.0000 0.0000 0.5000 (multiplicity 1)  8 Ir 2.74, 2 Mn 2.75, 2 W 2.78

D(E_F): 3.6 states/eV per cell
E_form: -0.223 eV/atom
total DFT energy (no corrections): -10.184 eV per atom

Ca2MgI6: optimized geometry, PBE-GGA.

a b c (Å): 7.3342 7.3342 13.6855
angles (deg): 90.00 90.00 90.00
With the nearest neighbours (Å) after each atom.
Space group P4_2/mnm (No. 136)
One atom of each set of equivalent atoms:
Ca 0.0000 0.0000 0.1656 (multiplicity 4)  6 I 3.13-3.19
Mg 0.0000 0.0000 0.5000 (multiplicity 2)  6 I 2.94-3.03
I 0.1922 0.1922 0.3424 (multiplicity 8)  1 Mg 2.94, 2 Ca 3.13-3.19
I 0.2078 0.2078 0.0000 (multiplicity 4)  1 Mg 3.03, 2 Ca 3.13

D(E_F): 0.0 states/eV per cell
ΔE_f (raw): -1.3666 eV per atom
total DFT energy (no corrections): -3.022 eV per atom

Ca12Zn6Au: optimized geometry, PBE-GGA.

a b c (Å): 10.4339 10.4339 10.4339
angles (deg): 90.00 90.00 90.00
With the nearest neighbours (Å) after each atom.
Space group Im-3 (No. 204)
One atom of each set of equivalent atoms:
Ca 0.0000 0.2885 0.1838 (multiplicity 24)  3 Zn 2.99-3.19
Zn 0.0000 0.1234 0.5000 (multiplicity 12)  1 Zn 2.57
Au 0.0000 0.0000 0.0000 (multiplicity 2)  12 Ca 3.57

D(E_F): 32.8 states/eV per cell
E_form: -0.197 eV/atom
total DFT energy (no corrections): -2.036 eV per atom

Sr5Ti2N6: optimized geometry, PBE-GGA.

a b c (Å): 10.9467 12.2428 3.5710
angles (deg): 90.00 90.00 90.00
With the nearest neighbours (Å) after each atom.
Space group Pbam (No. 55)
One atom of each set of equivalent atoms:
Sr 0.0000 0.0000 0.0000 (multiplicity 2)  4 N 2.69
Sr 0.0166 0.2628 0.0000 (multiplicity 4)  5 N 2.52-2.80
Sr 0.1998 0.5150 0.0000 (multiplicity 4)  3 N 2.57-2.64
Ti 0.2385 0.7253 0.5000 (multiplicity 4)  4 N 1.87-2.04
N 0.0999 0.6362 0.5000 (multiplicity 4)  1 Ti 1.87
N 0.1283 0.1179 0.5000 (multiplicity 4)  1 Ti 1.96
N 0.2384 0.8065 0.0000 (multiplicity 4)  2 Ti 2.04

D(E_F): 0.0 states/eV per cell
ΔE_f (raw): -0.9554 eV per atom
total DFT energy (no corrections): -6.659 eV per atom